The following is a PBE-GGA calculation of a relaxed CeFe2Ge2C crystal, from Alexandria via LeMat-Bulk.

## Properties
space group: P4/mmm, No. 123
energy: -7.186 eV/atom
energy of formation: -0.30 eV per atom
V: 14.328 Å³ per atom

abc: 3.997 3.997 5.382
angles: 90.00 90.00 90.00
Fractional coordinates of all 6 atoms:
Ce1 0.000 0.000 0.000
Fe1 0.000 0.500 0.500
Fe2 0.500 0.000 0.500
Ge1 0.500 0.500 0.231
Ge2 0.500 0.500 0.769
C1 0.000 0.000 0.500

=====

The following is a PBE-GGA calculation of a relaxed AsPd3Au crystal, from Alexandria via LeMat-Bulk.

## Properties
space group: Fmmm, No. 69
polymorph energy (0 for the lowest one): 0 meV per atom
energy: -4.853 eV/atom
energy of formation: -0.15 eV per atom
V: 16.845 Å³ per atom

abc: 7.608 7.284 5.133
angles: 73.27 66.48 40.25
Fractional coordinates of all 10 atoms:
As1 0.250 0.250 0.250
As2 0.750 0.750 0.750
Pd1 0.200 0.200 0.800
Pd2 0.207 0.579 0.421
Pd3 0.421 0.793 0.207
Pd4 0.579 0.207 0.793
Pd5 0.793 0.421 0.579
Pd6 0.800 0.800 0.200
Au1 0.208 0.792 0.792
Au2 0.792 0.208 0.208

=====

The following is a PBE-GGA calculation of a relaxed ErCoGe2 crystal, from Alexandria via LeMat-Bulk.

## Properties
space group: R-3m, No. 166
energy: -5.796 eV/atom
energy of formation: -0.57 eV per atom
V: 17.316 Å³ per atom

abc: 5.489 5.489 5.489
angles: 42.84 42.84 42.84
Fractional coordinates of all 4 atoms:
Er1 0.000 0.000 0.000
Co1 0.500 0.500 0.500
Ge1 0.218 0.218 0.218
Ge2 0.782 0.782 0.782

=====

The following is a PBE-GGA calculation of a relaxed Rb2TiCoS4 crystal, from Alexandria via LeMat-Bulk.

## Properties
space group: Fddd, No. 70
energy: -5.284 eV/atom
V: 29.128 Å³ per atom

abc: 13.994 12.538 7.367
angles: 85.14 63.22 31.64
Fractional coordinates of all 16 atoms:
Rb1 0.052 0.052 0.698
Rb2 0.302 0.302 0.948
Rb3 0.698 0.698 0.052
Rb4 0.948 0.948 0.302
Ti1 0.125 0.125 0.125
Ti2 0.875 0.875 0.875
Co1 0.375 0.375 0.375
Co2 0.625 0.625 0.625
S1 0.019 0.333 0.419
S2 0.271 0.581 0.667
S3 0.333 0.019 0.729
S4 0.419 0.729 0.019
S5 0.581 0.271 0.981
S6 0.667 0.981 0.271
S7 0.729 0.419 0.333
S8 0.981 0.667 0.581